(1)
! Na2SiH4Au2 (PBE-GGA, relaxed); values from VASP
! - Calculated total energy: -3.09 eV per atom
! - N(E_F): 1.48 states/eV per cell
&SYSTEM
  ibrav = 0, nat = 9, ntyp = 4
/
ATOMIC_SPECIES
Na 22.99 Na.upf
Si 28.09 Si.upf
H 1.01 H.upf
Au 196.97 Au.upf
ATOMIC_POSITIONS crystal
Na 0.2500 0.7500 0.5000
Na 0.7500 0.2500 0.5000
Si 0.0000 0.0000 0.0000
H 0.1948 0.1948 0.3897
H 0.1948 0.8052 0.0000
H 0.8052 0.1948 0.0000
H 0.8052 0.8052 0.6103
Au 0.3267 0.3267 0.0000
Au 0.6733 0.6733 0.0000
CELL_PARAMETERS angstrom
-2.9056 2.9056 3.8884
2.9056 -2.9056 3.8884
2.9056 2.9056 -3.8884

---

(2)
! Zn3FeBr (PBE-GGA, relaxed); values from VASP
! - Polymorph energy (0 for the lowest one): 4.07 eV/f.u.
! - Formation energy without anion corrections: 607 kJ/mol of formula units
! - Calculated total energy: -1.53 eV per atom
! - N(E_F): 12.40 states/eV per cell
&SYSTEM
  ibrav = 0, nat = 5, ntyp = 3
/
ATOMIC_SPECIES
Zn 65.41 Zn.upf
Fe 55.84 Fe.upf
Br 79.90 Br.upf
ATOMIC_POSITIONS crystal
Zn 0.0000 0.0000 0.5000
Zn 0.0000 0.5000 0.0000
Zn 0.5000 0.0000 0.0000
Fe 0.5000 0.5000 0.5000
Br 0.0000 0.0000 0.0000
CELL_PARAMETERS angstrom
5.0804 0.0000 0.0000
0.0000 5.0804 0.0000
0.0000 0.0000 5.0804

---

(3)
! NdPN2 (PBE-GGA, relaxed); values from VASP
! - Polymorph energy (0 for the lowest one): 4.98 eV/f.u.
! - Formation energy without anion corrections: 118 kJ/mol of formula units
! - Calculated total energy: -6.40 eV per atom
! - N(E_F): 1.08 states/eV per cell
&SYSTEM
  ibrav = 0, nat = 4, ntyp = 3
/
ATOMIC_SPECIES
Nd 144.24 Nd.upf
P 30.97 P.upf
N 14.01 N.upf
ATOMIC_POSITIONS crystal
Nd 0.0000 0.0000 0.0000
P 0.5000 0.5000 0.5000
N 0.1216 0.1216 0.1216
N 0.8784 0.8784 0.8784
CELL_PARAMETERS angstrom
1.4525 0.8386 6.8810
-1.4525 0.8386 6.8810
0.0000 -1.6772 6.8810

---

(4)
! AsPtBr2F (PBE-GGA, relaxed); values from VASP
! - Polymorph energy (0 for the lowest one): 1.70 eV/f.u.
! - Formation energy without anion corrections: 244 kJ/mol of formula units
! - Calculated total energy: -2.68 eV per atom
! - N(E_F): 5.92 states/eV per cell
&SYSTEM
  ibrav = 0, nat = 5, ntyp = 4
/
ATOMIC_SPECIES
As 74.92 As.upf
Pt 195.08 Pt.upf
Br 79.90 Br.upf
F 19.00 F.upf
ATOMIC_POSITIONS crystal
As 0.0000 0.0000 0.0000
Pt 0.5000 0.5000 0.0000
Br 0.0000 0.5000 0.5000
Br 0.5000 0.0000 0.5000
F 0.0000 0.0000 0.5000
CELL_PARAMETERS angstrom
5.3944 0.0000 0.0000
0.0000 5.3944 0.0000
0.0000 0.0000 3.8200

---

(5)
! LiSiCl (PBE-GGA, relaxed); values from VASP
! - Polymorph energy (0 for the lowest one): 1.83 eV/f.u.
! - Formation energy without anion corrections: -104 kJ/mol of formula units
! - Calculated total energy: -3.42 eV per atom
! - N(E_F): 1.05 states/eV per cell
&SYSTEM
  ibrav = 0, nat = 3, ntyp = 3
/
ATOMIC_SPECIES
Li 6.94 Li.upf
Si 28.09 Si.upf
Cl 35.45 Cl.upf
ATOMIC_POSITIONS crystal
Li 0.0000 0.0000 0.0000
Si 0.3506 0.3506 0.0000
Cl 0.5694 0.5694 0.0000
CELL_PARAMETERS angstrom
-1.6056 1.6056 5.7390
1.6056 -1.6056 5.7390
1.6056 1.6056 -5.7390

---

(6)
! SrLiLa2Tc (PBE-GGA, relaxed); values from VASP
! - Polymorph energy (0 for the lowest one): 0.00 eV/f.u.
! - DFT formation energy: 0.720 eV/f.u.
! - Calculated total energy: -4.62 eV per atom
! - N(E_F): 4.28 states/eV per cell
&SYSTEM
  ibrav = 0, nat = 5, ntyp = 4
/
ATOMIC_SPECIES
Sr 87.62 Sr.upf
Li 6.94 Li.upf
La 138.91 La.upf
Tc 98.00 Tc.upf
ATOMIC_POSITIONS crystal
Sr 0.0000 0.0000 0.0000
Li 0.5000 0.5000 0.0000
La 0.0000 0.5000 0.5000
La 0.5000 0.0000 0.5000
Tc 0.0000 0.0000 0.5000
CELL_PARAMETERS angstrom
5.3932 0.0000 0.0000
0.0000 5.3932 0.0000
0.0000 0.0000 6.2823

---

no.,ρ (g cm⁻³)
1,6.0
2,4.2
3,6.7
4,6.7
5,2.0
6,4.3